No. 1
The following is a SCAN calculation of a crystal of Ho3Fe2Si3 relaxed with PBEsol, from the Alexandria database.

Results
D(E_F) ... 7.658 states/eV per cell
Crystal system ... orthorhombic
Formation energy without anion corrections ... -0.6102 eV/atom

POSCAR file:
```
Ho3Fe2Si3
1.0
2.014 -5.155 0.000
2.014 5.155 0.000
0.000 0.000 13.363
Ho Fe Si
6 4 6
Direct
0.081 0.919 0.612 Ho
0.081 0.919 0.888 Ho
0.367 0.633 0.750 Ho
0.633 0.367 0.250 Ho
0.919 0.081 0.112 Ho
0.919 0.081 0.388 Ho
0.215 0.785 0.081 Fe
0.215 0.785 0.419 Fe
0.785 0.215 0.581 Fe
0.785 0.215 0.919 Fe
0.322 0.678 0.250 Si
0.376 0.624 0.540 Si
0.376 0.624 0.960 Si
0.624 0.376 0.040 Si
0.624 0.376 0.460 Si
0.678 0.322 0.750 Si
```

---

No. 2
The following is a SCAN calculation of a crystal of TbGa2Ag relaxed with PBEsol, from the Alexandria database.

Results
D(E_F) ... 1.659 states/eV per cell
Crystal system ... orthorhombic
Energy relative to the elements ... -57.89 kJ/mol of atoms

POSCAR file:
```
TbGa2Ag
1.0
6.850 0.000 0.000
0.000 4.300 0.000
0.000 0.000 10.065
Tb Ga Ag
4 8 4
Direct
0.219 0.250 0.174 Tb
0.281 0.750 0.674 Tb
0.719 0.250 0.326 Tb
0.781 0.750 0.826 Tb
0.074 0.250 0.845 Ga
0.203 0.750 0.964 Ga
0.297 0.250 0.464 Ga
0.426 0.750 0.345 Ga
0.574 0.250 0.655 Ga
0.703 0.750 0.536 Ga
0.797 0.250 0.036 Ga
0.926 0.750 0.155 Ga
0.045 0.750 0.405 Ag
0.455 0.250 0.905 Ag
0.545 0.750 0.095 Ag
0.955 0.250 0.595 Ag
```

---

No. 3
The following is a SCAN calculation of a crystal of Li2In relaxed with PBEsol, from the Alexandria database.

Results
D(E_F) ... 1.467 states/eV per cell
Crystal system ... monoclinic
Energy relative to the elements ... -26.75 kJ/mol of atoms

POSCAR file:
```
Li2In
1.0
5.286 -1.590 0.000
5.286 1.590 0.000
-2.150 0.000 6.771
Li In
4 2
Direct
0.022 0.022 0.300 Li
0.350 0.350 0.959 Li
0.650 0.650 0.041 Li
0.978 0.978 0.700 Li
0.310 0.310 0.359 In
0.690 0.690 0.641 In
```

---

No. 4
The following is a SCAN calculation of a crystal of Ag2As2Pb relaxed with PBEsol, from the Alexandria database.

Results
D(E_F) ... 1.357 states/eV per cell
Crystal system ... tetragonal
Energy relative to the elements ... 11.33 kJ/mol of atoms

POSCAR file:
```
Ag2As2Pb
1.0
-2.215 2.215 5.427
2.215 -2.215 5.427
2.215 2.215 -5.427
Ag As Pb
2 2 1
Direct
0.250 0.750 0.500 Ag
0.750 0.250 0.500 Ag
0.114 0.114 0.000 As
0.886 0.886 0.000 As
0.500 0.500 0.000 Pb
```

---

No. 5
The following is a SCAN calculation of a crystal of Os3PdF relaxed with PBEsol, from the Alexandria database.

Results
D(E_F) ... 6.271 states/eV per cell
Crystal system ... cubic
Formation energy without anion corrections ... 1.8111 eV/atom

POSCAR file:
```
Os3PdF
1.0
4.137 0.000 0.000
0.000 4.137 0.000
0.000 0.000 4.137
Os Pd F
3 1 1
Direct
0.000 0.000 0.500 Os
0.000 0.500 0.000 Os
0.500 0.000 0.000 Os
0.500 0.500 0.500 Pd
0.000 0.000 0.000 F
```

---

No. 6
The following is a SCAN calculation of a crystal of Ba2ZrSc relaxed with PBEsol, from the Alexandria database.

Results
D(E_F) ... 6.145 states/eV per cell
Relative energy among the computed polymorphs ... 0.000 eV/atom
Crystal system ... monoclinic
Energy relative to the elements ... 69.07 kJ/mol of atoms

POSCAR file:
```
Ba2ZrSc
1.0
3.513 0.000 0.000
0.000 5.311 0.000
-0.008 0.000 7.032
Ba Zr Sc
2 1 1
Direct
0.001 0.000 0.244 Ba
0.999 0.000 0.756 Ba
0.500 0.500 0.000 Zr
0.500 0.500 0.500 Sc
```

---

No. 7
The following is a SCAN calculation of a crystal of LaMnIr3 relaxed with PBEsol, from the Alexandria database.

Results
D(E_F) ... 2.236 states/eV per cell
Crystal system ... cubic
Energy relative to the elements ... 189.98 kJ/mol of atoms

POSCAR file:
```
LaMnIr3
1.0
4.850 0.000 0.000
0.000 4.850 0.000
0.000 0.000 4.850
La Mn Ir
1 1 3
Direct
0.000 0.000 0.000 La
0.500 0.500 0.500 Mn
0.000 0.000 0.500 Ir
0.000 0.500 0.000 Ir
0.500 0.000 0.000 Ir
```

---

No. 8
The following is a SCAN calculation of a crystal of LiAg2Bi relaxed with PBEsol, from the Alexandria database.

Results
D(E_F) ... 0.503 states/eV per cell
Crystal system ... cubic
Energy relative to the elements ... -12.68 kJ/mol of atoms

POSCAR file:
```
LiAg2Bi
1.0
0.000 3.402 3.402
3.402 0.000 3.402
3.402 3.402 0.000
Li Ag Bi
1 2 1
Direct
0.000 0.000 0.000 Li
0.250 0.250 0.250 Ag
0.750 0.750 0.750 Ag
0.500 0.500 0.500 Bi
```

---

No. 9
The following is a SCAN calculation of a crystal of TcRuPt relaxed with PBEsol, from the Alexandria database.

Results
D(E_F) ... 3.367 states/eV per cell
Relative energy among the computed polymorphs ... 0.013 eV/atom
Crystal system ... orthorhombic
Energy relative to the elements ... -12.30 kJ/mol of atoms

POSCAR file:
```
TcRuPt
1.0
-1.344 1.908 4.091
1.344 -1.908 4.091
1.344 1.908 -4.091
Tc Ru Pt
1 1 1
Direct
0.000 0.000 0.000 Tc
0.348 0.348 0.000 Ru
0.674 0.674 0.000 Pt
```

---

No. 10
The following is a SCAN calculation of a crystal of BaLaMg4 relaxed with PBEsol, from the Alexandria database.

Results
D(E_F) ... 6.305 states/eV per cell
Crystal system ... cubic
Energy relative to the elements ... -8.26 kJ/mol of atoms

POSCAR file:
```
BaLaMg4
1.0
0.000 4.468 4.468
4.468 0.000 4.468
4.468 4.468 0.000
Ba La Mg
1 1 4
Direct
0.000 0.000 0.000 Ba
0.750 0.750 0.750 La
0.376 0.376 0.376 Mg
0.376 0.376 0.871 Mg
0.376 0.871 0.376 Mg
0.871 0.376 0.376 Mg
```

---

No. 11
The following is a SCAN calculation of a crystal of LaHgMo2 relaxed with PBEsol, from the Alexandria database.

Results
D(E_F) ... 2.216 states/eV per cell
Crystal system ... tetragonal
Energy relative to the elements ... 53.52 kJ/mol of atoms

POSCAR file:
```
LaHgMo2
1.0
-2.279 2.279 3.810
2.279 -2.279 3.810
2.279 2.279 -3.810
La Hg Mo
1 1 2
Direct
0.000 0.000 0.000 La
0.250 0.750 0.500 Hg
0.500 0.500 0.000 Mo
0.750 0.250 0.500 Mo
```

---

No. 12
The following is a SCAN calculation of a crystal of FeNiO2 relaxed with PBEsol, from the Alexandria database.

Results
D(E_F) ... 3.476 states/eV per cell
Relative energy among the computed polymorphs ... 0.594 eV/atom
Crystal system ... cubic
Formation energy without anion corrections ... -0.5508 eV/atom

POSCAR file:
```
FeNiO2
1.0
0.000 2.591 2.591
2.591 0.000 2.591
2.591 2.591 0.000
Fe Ni O
1 1 2
Direct
0.000 0.000 0.000 Fe
0.500 0.500 0.500 Ni
0.250 0.250 0.250 O
0.750 0.750 0.750 O
```

---

No. 13
The following is a SCAN calculation of a crystal of Cs3CrF7 relaxed with PBEsol, from the Alexandria database.

Results
Crystal system ... tetragonal
Formation energy without anion corrections ... -2.9862 eV/atom

POSCAR file:
```
Cs3CrF7
1.0
8.308 0.000 0.000
0.000 8.308 0.000
0.000 0.000 6.163
Cs Cr F
6 2 14
Direct
0.000 0.000 0.000 Cs
0.191 0.309 0.500 Cs
0.309 0.809 0.500 Cs
0.500 0.500 0.000 Cs
0.691 0.191 0.500 Cs
0.809 0.691 0.500 Cs
0.000 0.500 0.000 Cr
0.500 0.000 0.000 Cr
0.000 0.000 0.500 F
0.109 0.609 0.212 F
0.109 0.609 0.788 F
0.156 0.344 0.000 F
0.344 0.844 0.000 F
0.391 0.109 0.212 F
0.391 0.109 0.788 F
0.500 0.500 0.500 F
0.609 0.891 0.212 F
0.609 0.891 0.788 F
0.656 0.156 0.000 F
0.844 0.656 0.000 F
0.891 0.391 0.212 F
0.891 0.391 0.788 F
```

---

No. 14
The following is a SCAN calculation of a crystal of CdPtAu2 relaxed with PBEsol, from the Alexandria database.

Results
D(E_F) ... 1.226 states/eV per cell
Crystal system ... triclinic
Energy relative to the elements ... -12.04 kJ/mol of atoms

POSCAR file:
```
CdPtAu2
1.0
2.942 0.000 0.000
-0.003 4.921 0.000
-1.461 -0.926 4.650
Cd Pt Au
1 1 2
Direct
0.000 0.000 0.000 Cd
0.253 0.762 0.505 Pt
0.506 0.507 0.012 Au
0.754 0.264 0.507 Au
```

---

No. 15
The following is a SCAN calculation of a crystal of Cu3MoS relaxed with PBEsol, from the Alexandria database.

Results
D(E_F) ... 2.395 states/eV per cell
Relative energy among the computed polymorphs ... 0.000 eV/atom
Crystal system ... cubic
Formation energy without anion corrections ... 0.9122 eV/atom

POSCAR file:
```
Cu3MoS
1.0
4.162 0.000 0.000
0.000 4.162 0.000
0.000 0.000 4.162
Cu Mo S
3 1 1
Direct
0.000 0.000 0.500 Cu
0.000 0.500 0.000 Cu
0.500 0.000 0.000 Cu
0.500 0.500 0.500 Mo
0.000 0.000 0.000 S
```

---

No. 16
The following is a SCAN calculation of a crystal of KScTa2 relaxed with PBEsol, from the Alexandria database.

Results
D(E_F) ... 4.772 states/eV per cell
Relative energy among the computed polymorphs ... 0.000 eV/atom
Crystal system ... orthorhombic
Energy relative to the elements ... 107.45 kJ/mol of atoms

POSCAR file:
```
KScTa2
1.0
-1.451 2.626 5.700
1.451 -2.626 5.700
1.451 2.626 -5.700
K Sc Ta
1 1 2
Direct
0.000 0.000 0.000 K
0.500 0.500 0.000 Sc
0.271 0.771 0.500 Ta
0.729 0.229 0.500 Ta
```

---

No. 17
The following is a SCAN calculation of a crystal of CaTc2As2 relaxed with PBEsol, from the Alexandria database.

Results
D(E_F) ... 2.865 states/eV per cell
Crystal system ... tetragonal
Energy relative to the elements ... -53.72 kJ/mol of atoms

POSCAR file:
```
CaTc2As2
1.0
-2.106 2.106 5.097
2.106 -2.106 5.097
2.106 2.106 -5.097
Ca Tc As
1 2 2
Direct
0.000 0.000 0.000 Ca
0.250 0.750 0.500 Tc
0.750 0.250 0.500 Tc
0.369 0.369 0.000 As
0.631 0.631 0.000 As
```

---

No. 18
The following is a SCAN calculation of a crystal of Ca2TeSe relaxed with PBEsol, from the Alexandria database.

Results
D(E_F) ... 0.000 states/eV per cell
Relative energy among the computed polymorphs ... 0.084 eV/atom
Crystal system ... trigonal
Formation energy without anion corrections ... -1.9527 eV/atom

POSCAR file:
```
Ca2TeSe
1.0
2.114 1.220 7.370
-2.114 1.220 7.370
0.000 -2.441 7.370
Ca Te Se
2 1 1
Direct
0.000 0.000 0.000 Ca
0.179 0.179 0.179 Ca
0.421 0.421 0.421 Te
0.591 0.591 0.591 Se
```

---

No. 19
The following is a SCAN calculation of a crystal of Li2AgH2 relaxed with PBEsol, from the Alexandria database.

Results
Energy ... -8.696 eV per atom
D(E_F) ... 1.449 states/eV per cell
Crystal system ... tetragonal

POSCAR file:
```
Li2AgH2
1.0
5.769 0.000 0.000
0.000 5.769 0.000
0.000 0.000 3.050
Li Ag H
4 2 4
Direct
0.166 0.334 0.000 Li
0.334 0.834 0.000 Li
0.666 0.166 0.000 Li
0.834 0.666 0.000 Li
0.000 0.000 0.500 Ag
0.500 0.500 0.500 Ag
0.177 0.677 0.500 H
0.323 0.177 0.500 H
0.677 0.823 0.500 H
0.823 0.323 0.500 H
```

---

No. 20
The following is a SCAN calculation of a crystal of CoIrAuO2 relaxed with PBEsol, from the Alexandria database.

Results
D(E_F) ... 2.837 states/eV per cell
Crystal system ... tetragonal
Formation energy without anion corrections ... 0.0399 eV/atom

POSCAR file:
```
CoIrAuO2
1.0
3.688 0.000 0.000
0.000 3.688 0.000
0.000 0.000 5.581
Co Ir Au O
1 1 1 2
Direct
0.000 0.000 0.000 Co
0.500 0.500 0.500 Ir
0.500 0.500 0.000 Au
0.000 0.500 0.500 O
0.500 0.000 0.500 O
```

---

No. 21
The following is a SCAN calculation of a crystal of Hg3W relaxed with PBEsol, from the Alexandria database.

Results
D(E_F) ... 2.698 states/eV per cell
Relative energy among the computed polymorphs ... 0.018 eV/atom
Crystal system ... orthorhombic
Energy relative to the elements ... 68.81 kJ/mol of atoms

POSCAR file:
```
Hg3W
1.0
-1.420 2.453 6.172
1.420 -2.453 6.172
1.420 2.453 -6.172
Hg W
3 1
Direct
0.000 0.000 0.000 Hg
0.301 0.801 0.500 Hg
0.699 0.199 0.500 Hg
0.500 0.500 0.000 W
```

---

No. 22
The following is a SCAN calculation of a crystal of Tl3PtC relaxed with PBEsol, from the Alexandria database.

Results
D(E_F) ... 0.854 states/eV per cell
Crystal system ... cubic
Energy relative to the elements ... 105.82 kJ/mol of atoms

POSCAR file:
```
Tl3PtC
1.0
5.233 0.000 0.000
0.000 5.233 0.000
0.000 0.000 5.233
Tl Pt C
3 1 1
Direct
0.000 0.000 0.500 Tl
0.000 0.500 0.000 Tl
0.500 0.000 0.000 Tl
0.000 0.000 0.000 Pt
0.500 0.500 0.500 C
```

---

No. 23
The following is a SCAN calculation of a crystal of CaCl2 relaxed with PBEsol, from the Alexandria database.

Results
D(E_F) ... 0.000 states/eV per cell
Crystal system ... orthorhombic
Formation energy without anion corrections ... -2.5633 eV/atom

POSCAR file:
```
CaCl2
1.0
2.037 -8.901 0.000
2.037 8.901 0.000
0.000 0.000 5.343
Ca Cl
2 4
Direct
0.171 0.829 0.750 Ca
0.829 0.171 0.250 Ca
0.215 0.785 0.250 Cl
0.419 0.581 0.250 Cl
0.581 0.419 0.750 Cl
0.785 0.215 0.750 Cl
```

---

No. 24
The following is a SCAN calculation of a crystal of AlNi2O4 relaxed with PBEsol, from the Alexandria database.

Results
D(E_F) ... 6.827 states/eV per cell
Relative energy among the computed polymorphs ... 0.000 eV/atom
Crystal system ... cubic
Formation energy without anion corrections ... -1.9765 eV/atom

POSCAR file:
```
AlNi2O4
1.0
0.000 4.028 4.028
4.028 0.000 4.028
4.028 4.028 0.000
Al Ni O
2 4 8
Direct
0.125 0.125 0.125 Al
0.875 0.875 0.875 Al
0.000 0.500 0.500 Ni
0.500 0.000 0.500 Ni
0.500 0.500 0.000 Ni
0.500 0.500 0.500 Ni
0.254 0.254 0.254 O
0.254 0.254 0.737 O
0.254 0.737 0.254 O
0.263 0.746 0.746 O
0.737 0.254 0.254 O
0.746 0.263 0.746 O
0.746 0.746 0.263 O
0.746 0.746 0.746 O
```

---

No. 25
The following is a SCAN calculation of a crystal of MgBe4Ir relaxed with PBEsol, from the Alexandria database.

Results
D(E_F) ... 2.684 states/eV per cell
Crystal system ... cubic
Energy relative to the elements ... -43.35 kJ/mol of atoms

POSCAR file:
```
MgBe4Ir
1.0
0.000 3.105 3.105
3.105 0.000 3.105
3.105 3.105 0.000
Mg Be Ir
1 4 1
Direct
0.000 0.000 0.000 Mg
0.377 0.377 0.377 Be
0.377 0.377 0.870 Be
0.377 0.870 0.377 Be
0.870 0.377 0.377 Be
0.750 0.750 0.750 Ir
```

---

No. 26
The following is a SCAN calculation of a crystal of ZrTa2As relaxed with PBEsol, from the Alexandria database.

Results
D(E_F) ... 2.866 states/eV per cell
Crystal system ... tetragonal
Energy relative to the elements ... -33.10 kJ/mol of atoms

POSCAR file:
```
ZrTa2As
1.0
3.430 0.000 0.000
0.000 3.430 0.000
0.000 0.000 6.060
Zr Ta As
1 2 1
Direct
0.000 0.000 0.000 Zr
0.000 0.000 0.485 Ta
0.500 0.500 0.729 Ta
0.500 0.500 0.252 As
```